1.
This record from Alexandria via LeMat-Bulk describes crystalline Ti2SnGe2 at its relaxed geometry. The functional is PBE.

Cell and atoms, written as POSCAR:
```
Ti2SnGe2
1.0
-3.835 1.729 -1.034
0.594 -1.154 -4.132
-3.994 -4.399 -1.616
Ti Ge Sn
2 2 1
direct
0.750 0.250 0.500
0.250 0.750 0.500
0.384 0.384 0.232
0.616 0.616 0.768
0.000 0.000 0.000
```

Properties
Symmetry   No. 139
Size of the total moment   0.0 μB/f.u.
DFT total energy   -29.6 eV per cell
Formation energy from the elements   -0.12 eV per atom
Mass density   5960 kg/m³

2.
This record from Alexandria via LeMat-Bulk describes crystalline Pm12Dy7Cd at its relaxed geometry. The functional is PBE.

Cell and atoms, written as POSCAR:
```
Pm12Dy7Cd
1.0
-9.535 -2.772 -0.709
5.495 -5.364 -6.336
3.217 -1.526 9.297
Dy Pm Cd
7 12 1
direct
0.500 0.000 0.000
0.000 0.500 0.500
0.000 0.500 0.000
0.500 0.000 0.500
0.500 0.500 0.000
0.500 0.500 0.500
0.000 0.000 0.500
0.759 0.001 0.242
0.759 0.517 0.758
0.758 0.759 0.517
0.242 0.241 0.483
0.001 0.242 0.759
0.483 0.242 0.241
0.241 0.999 0.758
0.758 0.241 0.999
0.517 0.758 0.759
0.242 0.759 0.001
0.999 0.758 0.241
0.241 0.483 0.242
0.000 0.000 0.000
```

Properties
Symmetry   No. 204
Size of the total moment   0.0 μB/f.u.
DFT total energy   -76.6 eV per cell
Formation energy from the elements   0.68 eV per atom
Mass density   6537 kg/m³

3.
This record from Alexandria via LeMat-Bulk describes crystalline KGe3Se at its relaxed geometry. The functional is PBE.

Cell and atoms, written as POSCAR:
```
KGe3Se
1.0
-2.909 4.122 1.689
-1.248 -2.691 4.417
4.277 2.018 2.438
K Se Ge
1 1 3
direct
0.500 0.500 0.500
0.000 0.000 0.000
0.500 0.000 0.000
0.000 0.500 0.000
0.000 0.000 0.500
```

Properties
Symmetry   No. 221
Size of the total moment   0.0 μB/f.u.
DFT total energy   -16.4 eV per cell
Formation energy (no corrections)   405.5 meV per atom
Mass density   3704 kg/m³

4.
This record from Alexandria via LeMat-Bulk describes crystalline Zr2Cu7 at its relaxed geometry. The functional is PBE.

Cell and atoms, written as POSCAR:
```
Zr2Cu7
1.0
-1.591 2.017 -4.227
-2.085 -2.846 -3.467
-12.249 1.635 2.496
Zr Cu
4 14
direct
0.950 0.950 0.149
0.146 0.146 0.561
0.854 0.854 0.439
0.050 0.050 0.851
0.108 0.612 0.667
0.612 0.108 0.667
0.389 0.389 0.833
0.500 0.500 0.500
0.722 0.722 0.833
0.388 0.892 0.333
0.500 0.000 0.000
0.388 0.388 0.333
0.278 0.278 0.167
0.000 0.500 0.000
0.612 0.612 0.667
0.500 0.500 0.000
0.611 0.611 0.167
0.892 0.388 0.333
```

Properties
Symmetry   No. 166
Size of the total moment   0.0 μB/f.u.
DFT total energy   -93.0 eV per cell
Formation energy from the elements   -0.08 eV per atom
Mass density   8006 kg/m³

Q: The lowest DFT total energy belongs to which entry?
A: Zr2Cu7

Q: Look up the DFT total energy of the first one.
A: -29.6 eV per cell

Q: Number 1 is which compound?
A: Ti2SnGe2